a:
VASP calculation (PBE-GGA) on a geometry-optimized TiP3H structure.

Geometry as POSCAR:
```
TiP3H
1.0
4.669 0.000 0.000
0.000 4.669 0.000
0.000 0.000 4.669
Ti P H
1 3 1
Cartesian
0.000 0.000 0.000
0.000 0.000 2.335
0.000 2.335 0.000
2.335 0.000 0.000
2.335 2.335 2.335
```

Theoretical density in g cm⁻³: 2.3
Total moment in μB/atom: 0.1194

---

b:
VASP calculation (PBE-GGA) on a geometry-optimized TiP3H structure.

Geometry as POSCAR:
```
TiP3H
1.0
3.948 0.000 0.000
0.000 3.948 0.000
0.000 0.000 3.948
Ti P H
1 3 1
Cartesian
0.000 0.000 0.000
0.000 1.974 1.974
1.974 0.000 1.974
1.974 1.974 0.000
1.974 1.974 1.974
```

Theoretical density in g cm⁻³: 3.8
Total moment in μB/atom: 0.0000

---

Looking at the structures above, which would you pick as the most stable? I would pick b.